# 1
## AcHfTaIr2 (PBE)

Data for AcHfTaIr2 after structural relaxation.

The density comes out at 14.231 g/cm³. The total energy is -94.36 eV/cell. As for the density of states at the Fermi level: 0.74 states/eV per atom.

a = 4.531 Å, b = 4.531 Å, c = 11.034 Å
α = 90.00°, β = 90.00°, γ = 90.00°
Positions (direct):
Ac 0.000 0.000 0.000
Ac 0.500 0.500 0.500
Hf 0.000 0.500 0.250
Hf 0.500 0.000 0.750
Ta 0.000 0.500 0.750
Ta 0.500 0.000 0.250
Ir 0.000 0.000 0.373
Ir 0.000 0.000 0.627
Ir 0.500 0.500 0.127
Ir 0.500 0.500 0.873

=====

# 2
## K3Ac2HfO6 (PBE)

Data for K3Ac2HfO6 after structural relaxation.

The density comes out at 6.008 g/cm³. The total energy is -81.42 eV/cell. As for the density of states at the Fermi level: 0.18 states/eV per atom.

a = 6.441 Å, b = 6.441 Å, c = 6.780 Å
α = 97.16°, β = 97.16°, γ = 120.82°
Positions (direct):
K 0.000 0.000 0.000
K 0.352 0.648 0.000
K 0.648 0.352 0.000
Ac 0.167 0.833 0.500
Ac 0.833 0.167 0.500
Hf 0.500 0.500 0.500
O 0.168 0.451 0.333
O 0.260 0.260 0.676
O 0.451 0.168 0.333
O 0.549 0.832 0.667
O 0.740 0.740 0.324
O 0.832 0.549 0.667

=====

# 3
## K4Ac3HfO8 (PBE)

Data for K4Ac3HfO8 after structural relaxation.

The density comes out at 6.158 g/cm³. The total energy is -106.49 eV/cell. As for the density of states at the Fermi level: 0.13 states/eV per atom.

a = 7.720 Å, b = 7.720 Å, c = 7.720 Å
α = 57.73°, β = 57.73°, γ = 57.73°
Positions (direct):
K 0.000 0.000 0.000
K 0.000 0.500 0.500
K 0.500 0.000 0.500
K 0.500 0.500 0.000
Ac 0.000 0.000 0.500
Ac 0.000 0.500 0.000
Ac 0.500 0.000 0.000
Hf 0.500 0.500 0.500
O 0.235 0.235 0.235
O 0.276 0.701 0.701
O 0.299 0.299 0.724
O 0.299 0.724 0.299
O 0.701 0.276 0.701
O 0.701 0.701 0.276
O 0.724 0.299 0.299
O 0.765 0.765 0.765

=====

# 4
## K2AcHf2O7 (PBE)

Data for K2AcHf2O7 after structural relaxation.

The density comes out at 6.722 g/cm³. The total energy is -95.46 eV/cell. As for the density of states at the Fermi level: 0.61 states/eV per atom.

a = 11.686 Å, b = 11.686 Å, c = 11.686 Å
α = 159.74°, β = 159.74°, γ = 28.80°
Positions (direct):
K 0.196 0.196 0.000
K 0.804 0.804 0.000
Ac 0.000 0.000 0.000
Hf 0.402 0.402 0.000
Hf 0.598 0.598 0.000
O 0.081 0.581 0.500
O 0.316 0.316 0.000
O 0.419 0.919 0.500
O 0.500 0.500 0.000
O 0.581 0.081 0.500
O 0.684 0.684 0.000
O 0.919 0.419 0.500